The following is a GGA-PBE calculation of an optimized crystal structure of Pr5Y2Tm2, from the Alexandria database.

a = 12.9493 Å, b = 6.2836 Å, c = 10.4743 Å
α = 107.45°, β = 128.18°, γ = 90.00°
Positions (direct):
1 Pr 0.2477 0.7360 0.9000
2 Pr 0.7523 0.8359 0.1000
3 Pr 0.1524 0.2360 0.9000
4 Pr 0.8476 0.3359 0.1000
5 Pr 0.3278 0.0969 0.2877
6 Pr 0.6722 0.8092 0.7123
7 Pr 0.4599 0.5969 0.2877
8 Pr 0.5401 0.3092 0.7123
9 Pr 0.0728 0.7914 0.5000
10 Pr 0.9272 0.2914 0.5000
11 Y 0.1821 0.5851 0.2669
12 Y 0.8179 0.3182 0.7331
13 Y 0.5848 0.0851 0.2669
14 Y 0.4152 0.8182 0.7331
15 Tm 0.0000 0.8958 0.0000
16 Tm 0.5000 0.3958 0.0000
17 Tm 0.1945 0.2676 0.5000
18 Tm 0.8055 0.7676 0.5000

Results
The energy relative to the lowest polymorph listed for this composition comes out at 0.07 eV/f.u.